Entry 1:
Computed, not measured: a relaxed structure of LiHgPb2 at the PBE-GGA level of DFT.

Computed properties:
As for the density of states at the Fermi level: 2.3 states/eV per cell. Its space group is R3m, No. 160. Its crystal system is trigonal. For the magnetization, the calculation gives 0.0 μB/f.u. For the formation energy, the calculation gives -0.4 eV/f.u. The total energy comes out at -2.500 eV/atom.

POSCAR file:
```
LiHgPb2
1.0
1.763 1.018 9.877
-1.763 1.018 9.877
0.000 -2.035 9.877
Li Hg Pb
1 1 2
Cartesian
0.000 0.000 0.000
0.000 0.000 21.681
0.000 0.000 7.504
0.000 0.000 14.573
```

Entry 2:
Computed, not measured: a relaxed structure of Ce2CoCl at the PBE-GGA level of DFT.

Computed properties:
Its raw formation energy is -796 meV/atom. As for the density of states at the Fermi level: 17.9 states/eV per cell. Its space group is Pmmn, No. 59. Its crystal system is orthorhombic. For the magnetization, the calculation gives 1.6 μB/f.u. The value obtained for the relative energy among the computed polymorphs is 0.0231 eV per atom. The total energy comes out at -6.001 eV/atom.

POSCAR file:
```
Ce2CoCl
1.0
3.741 0.000 0.000
0.000 5.805 0.000
0.000 0.000 8.619
Ce Co Cl
4 2 2
Cartesian
0.935 1.451 0.718
0.935 1.451 5.686
2.806 4.353 2.933
2.806 4.353 7.901
0.935 4.353 1.187
2.806 1.451 7.432
0.935 4.353 5.356
2.806 1.451 3.263
```

Entry 3:
Computed, not measured: a relaxed structure of K3Sm3TiS8 at the PBE-GGA level of DFT.

Computed properties:
Its raw formation energy is -1714 meV/atom. Its space group is R-3m, No. 166. Its crystal system is trigonal. For the magnetization, the calculation gives 0.0 μB/f.u. The total energy comes out at -5.605 eV/atom.

POSCAR file:
```
K3Sm3TiS8
1.0
4.001 2.310 7.512
-4.001 2.310 7.512
0.000 -4.620 7.512
K Sm Ti S
3 3 1 8
Cartesian
-2.001 -1.155 7.512
-2.001 1.155 15.024
0.000 2.310 7.512
-4.001 0.000 11.268
-2.001 1.155 3.756
2.001 1.155 3.756
0.000 0.000 11.268
0.000 0.000 5.314
-1.800 -1.039 12.685
0.000 -2.079 9.850
-1.800 1.039 9.850
1.800 -1.039 12.685
0.000 2.079 12.685
1.800 1.039 9.850
0.000 0.000 17.222
```

Entry 4:
Computed, not measured: a relaxed structure of CrPb at the PBE-GGA level of DFT.

Computed properties:
As for the density of states at the Fermi level: 1.8 states/eV per cell. Its space group is Fm-3m, No. 225. Its crystal system is cubic. For the magnetization, the calculation gives 3.1 μB/f.u. For the formation energy, the calculation gives 1.7 eV/f.u. The total energy comes out at -5.833 eV/atom.

POSCAR file:
```
CrPb
1.0
0.000 2.821 2.821
2.821 0.000 2.821
2.821 2.821 0.000
Cr Pb
1 1
Cartesian
0.000 0.000 0.000
2.821 2.821 2.821
```

Entry 5:
Computed, not measured: a relaxed structure of KIn2Pt at the PBE-GGA level of DFT.

Computed properties:
As for the density of states at the Fermi level: 1.6 states/eV per cell. Its space group is R-3m, No. 166. Its crystal system is trigonal. For the magnetization, the calculation gives 0.0 μB/f.u. For the formation energy, the calculation gives -1.2 eV/f.u. The total energy comes out at -3.462 eV/atom.

POSCAR file:
```
KIn2Pt
1.0
2.308 1.333 6.417
-2.308 1.333 6.417
0.000 -2.665 6.417
K In Pt
1 2 1
Cartesian
0.000 0.000 0.000
0.000 0.000 3.979
0.000 0.000 15.273
0.000 0.000 9.626
```